{
  "formula": "TaTl2Si",
  "functional": "GGA-PBE",
  "state": "optimized geometry",
  "energy_ev_per_atom": -5.206,
  "n_ef_per_ev_cell": 3.08,
  "lattice_angstrom": [[3.5195, 0.0000, 0.0000], [0.0000, 3.5195, 0.0000], [0.0000, 0.0000, 7.4379]],
  "species": ["Si", "Ta", "Tl", "Tl"],
  "fractional_positions": [[0.0000, 0.0000, 0.5854], [0.5000, 0.5000, 0.6744], [0.0000, 0.0000, 0.9714], [0.5000, 0.5000, 0.2688]]
}



{
  "formula": "NiAsS",
  "functional": "GGA-PBE",
  "state": "optimized geometry",
  "energy_ev_per_atom": -4.859,
  "n_ef_per_ev_cell": 3.61,
  "lattice_angstrom": [[0.6735, -2.4002, -4.0449], [0.2744, -4.4730, 1.5789], [-5.5011, 1.8537, 3.7123]],
  "species": ["S", "S", "As", "As", "Ni", "Ni"],
  "fractional_positions": [[0.1482, 0.7336, 0.8818], [0.8518, 0.2664, 0.1182], [0.0000, 0.0000, 0.5000], [0.5000, 0.5000, 0.5000], [0.3465, 0.9127, 0.2593], [0.6535, 0.0873, 0.7407]]
}



{
  "formula": "TlGaPS2",
  "functional": "GGA-PBE",
  "state": "optimized geometry",
  "energy_ev_per_atom": -2.971,
  "n_ef_per_ev_cell": 3.42,
  "lattice_angstrom": [[5.2447, 0.0000, 0.0000], [0.0000, 5.2447, 0.0000], [0.0000, 0.0000, 5.1716]],
  "species": ["P", "Tl", "S", "S", "Ga"],
  "fractional_positions": [[0.0000, 0.0000, 0.5000], [0.0000, 0.0000, 0.0000], [0.0000, 0.5000, 0.0000], [0.5000, 0.0000, 0.0000], [0.5000, 0.5000, 0.5000]]
}



{
  "formula": "Rb4Th3MnSe8",
  "functional": "GGA-PBE",
  "state": "optimized geometry",
  "energy_ev_per_atom": -5.318,
  "n_ef_per_ev_cell": 8.71,
  "lattice_angstrom": [[-8.5062, 0.1037, -0.4014], [-0.4548, -0.8946, 9.4058], [4.4855, 6.5825, -3.0115]],
  "species": ["Rb", "Rb", "Rb", "Rb", "Th", "Th", "Th", "Mn", "Se", "Se", "Se", "Se", "Se", "Se", "Se", "Se"],
  "fractional_positions": [[0.5000, 0.0000, 0.0000], [0.5000, 0.0000, 0.5000], [0.0000, 0.0000, 0.0000], [0.0000, 0.0000, 0.5000], [0.5000, 0.5000, 0.0000], [0.5000, 0.5000, 0.5000], [0.0000, 0.5000, 0.5000], [0.0000, 0.5000, 0.0000], [0.2272, 0.6962, 0.9690], [0.2271, 0.6960, 0.4541], [0.2636, 0.2909, 0.5272], [0.7418, 0.6962, 0.9690], [0.2582, 0.3038, 0.0310], [0.7364, 0.7091, 0.4728], [0.7729, 0.3040, 0.5459], [0.7728, 0.3038, 0.0310]]
}



{
  "formula": "Ba3ZrAg",
  "functional": "GGA-PBE",
  "state": "optimized geometry",
  "energy_ev_per_atom": -2.854,
  "delta_e_f_mev_per_atom": 580,
  "n_ef_per_ev_cell": 8.56,
  "lattice_angstrom": [[-2.4963, -2.2991, 5.3438], [5.7271, -1.9921, 1.8182], [1.0213, 5.5516, 2.8655]],
  "species": ["Zr", "Ba", "Ba", "Ba", "Ag"],
  "fractional_positions": [[0.5000, 0.5000, 0.5000], [0.0000, 0.5000, 0.0000], [0.0000, 0.0000, 0.5000], [0.5000, 0.0000, 0.0000], [0.0000, 0.0000, 0.0000]]
}



{
  "formula": "DyEr2Sc4",
  "functional": "GGA-PBE",
  "state": "optimized geometry",
  "energy_ev_per_atom": -5.513,
  "delta_e_f_mev_per_atom": 66,
  "n_ef_per_ev_cell": 18.69,
  "lattice_angstrom": [[-4.0607, -4.9719, -0.8940], [4.0176, -2.1421, 7.1227], [-5.3199, 6.4421, 0.6192]],
  "species": ["Dy", "Dy", "Er", "Er", "Er", "Er", "Sc", "Sc", "Sc", "Sc", "Sc", "Sc", "Sc", "Sc"],
  "fractional_positions": [[0.2197, 0.7371, 0.4822], [0.9430, 0.9488, 0.8638], [0.6867, 0.6416, 0.4129], [0.1866, 0.1766, 0.6424], [0.6921, 0.4297, 0.9914], [0.4388, 0.7963, 0.1488], [0.6703, 0.0935, 0.6017], [0.4987, 0.5990, 0.7372], [0.3982, 0.2296, 0.3416], [0.9071, 0.2693, 0.3163], [0.9908, 0.5447, 0.7612], [0.9625, 0.8687, 0.1913], [0.1816, 0.3851, 0.0699], [0.4740, 0.0299, 0.9395]]
}



{
  "formula": "BiIr2W",
  "functional": "GGA-PBE",
  "state": "optimized geometry",
  "energy_ev_per_atom": -7.875,
  "delta_e_f_mev_per_atom": 764,
  "n_ef_per_ev_cell": 10.92,
  "lattice_angstrom": [[6.0144, 0.0000, 0.0000], [0.0000, 6.0144, 0.0000], [3.0072, 3.0072, 5.6626]],
  "species": ["Ir", "Ir", "Ir", "Ir", "Bi", "Bi", "W", "W"],
  "fractional_positions": [[0.5898, 0.1250, 0.2500], [0.1602, 0.6250, 0.2500], [0.3750, 0.4102, 0.7500], [0.8750, 0.8398, 0.7500], [0.0000, 0.0000, 0.0000], [0.7500, 0.2500, 0.5000], [0.5000, 0.5000, 0.0000], [0.2500, 0.7500, 0.5000]]
}



{
  "formula": "Mg2BF",
  "functional": "GGA-PBE",
  "state": "optimized geometry",
  "energy_ev_per_atom": -3.535,
  "n_ef_per_ev_cell": 2.87,
  "lattice_angstrom": [[5.7949, 0.0000, 0.0000], [0.0000, 5.7949, 0.0000], [2.8975, 2.8975, 3.5271]],
  "species": ["Mg", "Mg", "Mg", "Mg", "B", "B", "F", "F"],
  "fractional_positions": [[0.6521, 0.1250, 0.2500], [0.0979, 0.6250, 0.2500], [0.3750, 0.3479, 0.7500], [0.8750, 0.9021, 0.7500], [0.5000, 0.5000, 0.0000], [0.2500, 0.7500, 0.5000], [0.0000, 0.0000, 0.0000], [0.7500, 0.2500, 0.5000]]
}



{
  "formula": "ScSi3As",
  "functional": "GGA-PBE",
  "state": "optimized geometry",
  "energy_ev_per_atom": -4.344,
  "n_ef_per_ev_cell": 5.02,
  "lattice_angstrom": [[4.9979, 0.0000, 0.0000], [0.0000, 4.9979, 0.0000], [0.0000, 0.0000, 4.9979]],
  "species": ["Sc", "As", "Si", "Si", "Si"],
  "fractional_positions": [[0.0000, 0.0000, 0.0000], [0.5000, 0.5000, 0.5000], [0.0000, 0.5000, 0.0000], [0.0000, 0.0000, 0.5000], [0.5000, 0.0000, 0.0000]]
}



{
  "formula": "CdP3",
  "functional": "GGA-PBE",
  "state": "optimized geometry",
  "energy_ev_per_atom": -3.580,
  "delta_e_f_mev_per_atom": 706,
  "n_ef_per_ev_cell": 1.76,
  "lattice_angstrom": [[4.5890, 0.0000, 0.0000], [2.2945, 3.9742, 0.0000], [2.2945, 1.3247, 3.7469]],
  "species": ["Cd", "P", "P", "P"],
  "fractional_positions": [[0.0000, 0.0000, 0.0000], [0.2500, 0.2500, 0.2500], [0.5000, 0.5000, 0.5000], [0.7500, 0.7500, 0.7500]]
}



{
  "formula": "La2EuSi",
  "functional": "GGA-PBE",
  "state": "optimized geometry",
  "energy_ev_per_atom": -6.660,
  "n_ef_per_ev_cell": 4.35,
  "lattice_angstrom": [[-1.9510, 0.4748, 3.3922], [1.5032, -3.3891, 1.3389], [6.4340, 4.0896, 3.1281]],
  "species": ["Eu", "Si", "La", "La"],
  "fractional_positions": [[0.5000, 0.5000, 0.5000], [0.5000, 0.5000, 0.0000], [0.0000, 0.0000, 0.8168], [0.0000, 0.0000, 0.1832]]
}



{
  "formula": "Nd2HfAu",
  "functional": "GGA-PBE",
  "state": "optimized geometry",
  "energy_ev_per_atom": -5.924,
  "delta_e_f_mev_per_atom": -233,
  "n_ef_per_ev_cell": 3.92,
  "lattice_angstrom": [[3.5518, 0.0000, 0.0000], [0.0000, 3.5518, 0.0000], [0.0000, 0.0000, 8.5626]],
  "species": ["Hf", "Au", "Nd", "Nd"],
  "fractional_positions": [[0.5000, 0.5000, 0.5000], [0.5000, 0.5000, 0.0000], [0.0000, 0.0000, 0.7675], [0.0000, 0.0000, 0.2325]]
}